a.
A plane-wave DFT calculation with GGA-PBE was carried out for a relaxed structure of CsGe.

Values from the calculation:
- M_tot (μB/atom) = 0.00

Cell lengths 14.8339, 8.3477, 12.6480 Å; angles 90.00, 90.00, 90.00 degrees
Last column: nearest neighbours and their distance in Å.
Positions (direct):
Ge (0.5000, 0.8651, 0.0000)  1 Ge 2.25
Ge (0.7500, 0.8849, 0.2500)  1 Ge 2.25
Ge (0.5000, 0.6349, 0.5000)  1 Ge 2.25
Ge (0.2500, 0.3849, 0.2500)  1 Ge 2.25
Ge (0.2500, 0.1151, 0.2500)  1 Ge 2.25
Ge (0.7500, 0.1151, 0.7500)  1 Ge 2.25
Ge (0.0000, 0.8651, 0.5000)  1 Ge 2.25
Ge (0.5000, 0.1349, 0.0000)  1 Ge 2.25
Ge (0.5000, 0.3651, 0.5000)  1 Ge 2.25
Ge (0.0000, 0.6349, 0.0000)  1 Ge 2.25
Ge (0.7500, 0.6151, 0.2500)  1 Ge 2.25
Ge (0.0000, 0.3651, 0.0000)  1 Ge 2.25
Ge (0.0000, 0.1349, 0.5000)  1 Ge 2.25
Ge (0.7500, 0.3849, 0.7500)  1 Ge 2.25
Ge (0.2500, 0.8849, 0.7500)  1 Ge 2.25
Ge (0.2500, 0.6151, 0.7500)  1 Ge 2.25
Cs (0.2500, 0.2500, 0.9487)  6 Ge 3.89-3.97
Cs (0.5000, 0.0000, 0.3013)  6 Ge 3.89-3.97
Cs (0.7500, 0.7500, 0.9487)  6 Ge 3.89-3.97
Cs (0.7500, 0.2500, 0.0513)  6 Ge 3.89-3.97
Cs (0.0000, 0.5000, 0.3013)  6 Ge 3.89-3.97
Cs (0.0000, 0.5000, 0.6987)  6 Ge 3.89-3.97
Cs (0.2500, 0.2500, 0.5513)  6 Ge 3.89-3.97
Cs (0.5000, 0.0000, 0.6987)  6 Ge 3.89-3.97
Cs (0.2500, 0.7500, 0.4487)  6 Ge 3.89-3.97
Cs (0.0000, 0.0000, 0.1987)  6 Ge 3.89-3.97
Cs (0.5000, 0.5000, 0.1987)  6 Ge 3.89-3.97
Cs (0.5000, 0.5000, 0.8013)  6 Ge 3.89-3.97
Cs (0.0000, 0.0000, 0.8013)  6 Ge 3.89-3.97
Cs (0.7500, 0.7500, 0.5513)  6 Ge 3.89-3.97
Cs (0.7500, 0.2500, 0.4487)  6 Ge 3.89-3.97
Cs (0.2500, 0.7500, 0.0513)  6 Ge 3.89-3.97


b.
A plane-wave DFT calculation with GGA-PBE was carried out for a relaxed structure of CsGe.

Values from the calculation:
- M_tot (μB/atom) = 0.00

Cell lengths 14.0593, 14.0593, 4.1656 Å; angles 90.00, 90.00, 120.00 degrees
Last column: nearest neighbours and their distance in Å.
Positions (direct):
Cs (0.2246, 0.7754, 0.7500)  6 Ge 3.71-4.13
Cs (0.5508, 0.7754, 0.7500)  6 Ge 3.71-4.13
Cs (0.7754, 0.2246, 0.2500)  6 Ge 3.71-4.13
Cs (0.2246, 0.4492, 0.7500)  6 Ge 3.71-4.13
Cs (0.4492, 0.2246, 0.2500)  6 Ge 3.71-4.13
Cs (0.7754, 0.5508, 0.2500)  6 Ge 3.71-4.13
Ge (0.4715, 0.5285, 0.2500)  2 Ge 2.50
Ge (0.5285, 0.0570, 0.7500)  2 Ge 2.50
Ge (0.5285, 0.4715, 0.7500)  2 Ge 2.50
Ge (0.9430, 0.4715, 0.7500)  2 Ge 2.50
Ge (0.4715, 0.9430, 0.2500)  2 Ge 2.50
Ge (0.0570, 0.5285, 0.2500)  2 Ge 2.50


Decreasing stability: b, a


a.
A plane-wave DFT calculation with GGA-PBE was carried out for a relaxed structure of CsGe.

Values from the calculation:
- M_tot (μB/atom) = 0.00

Cell lengths 5.7544, 4.1306, 7.5695 Å; angles 90.00, 112.37, 90.00 degrees
Last column: nearest neighbours and their distance in Å.
Positions (direct):
Ge (0.0509, 0.2500, 0.1016)  2 Ge 2.51
Ge (0.9491, 0.7500, 0.8984)  2 Ge 2.51
Cs (0.6494, 0.7500, 0.2988)  7 Ge 3.80-4.20, 2 Cs 4.13
Cs (0.3506, 0.2500, 0.7012)  7 Ge 3.80-4.20, 2 Cs 4.13


b.
A plane-wave DFT calculation with GGA-PBE was carried out for a relaxed structure of CsGe.

Values from the calculation:
- M_tot (μB/atom) = 0.07

Cell lengths 12.1674, 12.1674, 5.0031 Å; angles 90.00, 90.00, 90.00 degrees
Last column: nearest neighbours and their distance in Å.
Positions (direct):
Cs (0.7825, 0.1183, 0.0000)  4 Ge 3.54-3.92
Cs (0.3817, 0.2825, 0.5000)  4 Ge 3.54-3.92
Cs (0.2825, 0.6183, 0.5000)  4 Ge 3.54-3.92
Cs (0.8817, 0.7825, 0.0000)  4 Ge 3.54-3.92
Cs (0.1183, 0.2175, 0.0000)  4 Ge 3.54-3.92
Cs (0.6183, 0.7175, 0.5000)  4 Ge 3.54-3.92
Cs (0.2175, 0.8817, 0.0000)  4 Ge 3.54-3.92
Cs (0.7175, 0.3817, 0.5000)  4 Ge 3.54-3.92
Ge (0.5388, 0.9074, 0.0000)  1 Ge 2.44
Ge (0.9612, 0.5926, 0.5000)  1 Ge 2.44
Ge (0.9074, 0.4612, 0.0000)  1 Ge 2.44
Ge (0.4074, 0.9612, 0.5000)  1 Ge 2.44
Ge (0.0926, 0.5388, 0.0000)  1 Ge 2.44
Ge (0.0388, 0.4074, 0.5000)  1 Ge 2.44
Ge (0.4612, 0.0926, 0.0000)  1 Ge 2.44
Ge (0.5926, 0.0388, 0.5000)  1 Ge 2.44


c.
A plane-wave DFT calculation with GGA-PBE was carried out for a relaxed structure of CsGe.

Values from the calculation:
- M_tot (μB/atom) = 0.00

Cell lengths 13.4738, 6.7612, 7.2825 Å; angles 90.00, 90.00, 90.00 degrees
Last column: nearest neighbours and their distance in Å.
Positions (direct):
Cs (0.8138, 0.2484, 0.1471)  4 Ge 3.64-3.90
Cs (0.3138, 0.7516, 0.6471)  4 Ge 3.64-3.90
Cs (0.0000, 0.7523, 0.7970)  2 Ge 3.63-3.64
Cs (0.1862, 0.2484, 0.1471)  4 Ge 3.64-3.90
Cs (0.6862, 0.7516, 0.6471)  4 Ge 3.64-3.90
Cs (0.5000, 0.2477, 0.2970)  2 Ge 3.63-3.64
Ge (0.6714, 0.7466, 0.1487)  1 Ge 2.32
Ge (0.3286, 0.7466, 0.1487)  1 Ge 2.32
Ge (0.5000, 0.7472, 0.1135)  2 Ge 2.32
Ge (0.0000, 0.2528, 0.6135)  2 Ge 2.32
Ge (0.8286, 0.2534, 0.6487)  1 Ge 2.32
Ge (0.1714, 0.2534, 0.6487)  1 Ge 2.32


Decreasing stability: a, b, c


a.
A plane-wave DFT calculation with GGA-PBE was carried out for a relaxed structure of CsGe.

Values from the calculation:
- M_tot (μB/atom) = 0.00

Cell lengths 8.0255, 8.0255, 7.3280 Å; angles 90.00, 90.00, 90.00 degrees
Last column: nearest neighbours and their distance in Å.
Positions (direct):
Ge (0.0991, 0.0991, 0.5000)  1 Ge 2.25
Ge (0.5991, 0.4009, 0.0000)  1 Ge 2.25
Ge (0.4009, 0.5991, 0.0000)  1 Ge 2.25
Ge (0.9009, 0.9009, 0.5000)  1 Ge 2.25
Cs (0.6804, 0.3196, 0.5000)  4 Ge 3.78-3.80, 1 Cs 4.09
Cs (0.3196, 0.6804, 0.5000)  4 Ge 3.78-3.80, 1 Cs 4.09
Cs (0.1804, 0.1804, 0.0000)  4 Ge 3.78-3.80, 1 Cs 4.09
Cs (0.8196, 0.8196, 0.0000)  4 Ge 3.78-3.80, 1 Cs 4.09


b.
A plane-wave DFT calculation with GGA-PBE was carried out for a relaxed structure of CsGe.

Values from the calculation:
- M_tot (μB/atom) = 1.50

Cell lengths 10.6891, 10.6891, 10.6891 Å; angles 90.00, 90.00, 90.00 degrees
Last column: nearest neighbours and their distance in Å.
Positions (direct):
Cs (0.5000, 0.0000, 0.2500)  4 Ge 3.78
Cs (0.5000, 0.0000, 0.7500)  4 Ge 3.78
Cs (0.7500, 0.5000, 0.0000)  4 Ge 3.78
Cs (0.0000, 0.2500, 0.5000)  4 Ge 3.78
Cs (0.2500, 0.5000, 0.0000)  4 Ge 3.78
Cs (0.0000, 0.7500, 0.5000)  4 Ge 3.78
Ge (0.7500, 0.0000, 0.5000)  4 Cs 3.78
Ge (0.0000, 0.5000, 0.7500)  4 Cs 3.78
Ge (0.0000, 0.5000, 0.2500)  4 Cs 3.78
Ge (0.5000, 0.2500, 0.0000)  4 Cs 3.78
Ge (0.5000, 0.7500, 0.0000)  4 Cs 3.78
Ge (0.2500, 0.0000, 0.5000)  4 Cs 3.78


Decreasing stability: a, b


a.
A plane-wave DFT calculation with GGA-PBE was carried out for a relaxed structure of CsGe.

Values from the calculation:
- M_tot (μB/atom) = 0.00

Cell lengths 11.1625, 7.9028, 9.8229 Å; angles 90.00, 90.00, 90.00 degrees
Last column: nearest neighbours and their distance in Å.
Positions (direct):
Ge (0.9079, 0.0960, 0.4991)  2 Ge 2.43-2.56
Ge (0.5921, 0.5960, 0.9991)  2 Ge 2.43-2.56
Ge (0.9079, 0.4040, 0.4991)  2 Ge 2.43-2.56
Ge (0.4079, 0.0960, 0.0009)  2 Ge 2.43-2.56
Ge (0.5921, 0.9040, 0.9991)  2 Ge 2.43-2.56
Ge (0.0921, 0.5960, 0.5009)  2 Ge 2.43-2.56
Ge (0.4079, 0.4040, 0.0009)  2 Ge 2.43-2.56
Ge (0.0921, 0.9040, 0.5009)  2 Ge 2.43-2.56
Cs (0.3433, 0.7500, 0.2472)  6 Ge 3.72-3.94
Cs (0.8377, 0.7500, 0.7412)  6 Ge 3.71-3.93
Cs (0.6623, 0.2500, 0.2412)  6 Ge 3.71-3.93
Cs (0.6567, 0.2500, 0.7528)  6 Ge 3.72-3.94
Cs (0.3377, 0.7500, 0.7588)  6 Ge 3.71-3.93
Cs (0.1567, 0.2500, 0.7472)  6 Ge 3.72-3.94
Cs (0.8433, 0.7500, 0.2528)  6 Ge 3.72-3.94
Cs (0.1623, 0.2500, 0.2588)  6 Ge 3.71-3.93


b.
A plane-wave DFT calculation with GGA-PBE was carried out for a relaxed structure of CsGe.

Values from the calculation:
- M_tot (μB/atom) = 0.00

Cell lengths 12.5505, 12.5505, 12.5505 Å; angles 124.65, 124.65, 82.12 degrees
Last column: nearest neighbours and their distance in Å.
Positions (direct):
Ge (0.1057, 0.7596, 0.4630)  3 Ge 2.61
Ge (0.5096, 0.5465, 0.1539)  3 Ge 2.61
Ge (0.2404, 0.7035, 0.3461)  3 Ge 2.61
Ge (0.8927, 0.0465, 0.0370)  3 Ge 2.61
Ge (0.3573, 0.8943, 0.6539)  3 Ge 2.61
Ge (0.0096, 0.8557, 0.9630)  3 Ge 2.61
Ge (0.1443, 0.1073, 0.1539)  3 Ge 2.61
Ge (0.6443, 0.4904, 0.0370)  3 Ge 2.61
Ge (0.9535, 0.9904, 0.8461)  3 Ge 2.61
Ge (0.8573, 0.2035, 0.4630)  3 Ge 2.61
Ge (0.2965, 0.6427, 0.5370)  3 Ge 2.61
Ge (0.6057, 0.1427, 0.3461)  3 Ge 2.61
Ge (0.7965, 0.2596, 0.6539)  3 Ge 2.61
Ge (0.3927, 0.3557, 0.8461)  3 Ge 2.61
Ge (0.4535, 0.6073, 0.9630)  3 Ge 2.61
Ge (0.7404, 0.3943, 0.5370)  3 Ge 2.61
Cs (0.1250, 0.5156, 0.8906)  8 Ge 3.82-4.07, 4 Cs 3.95-4.14
Cs (0.3711, 0.3711, 0.2422)  6 Ge 3.86-4.02, 5 Cs 3.95-4.14
Cs (0.6211, 0.1211, 0.7422)  6 Ge 3.86-4.02, 5 Cs 3.95-4.14
Cs (0.8711, 0.6289, 0.0000)  6 Ge 3.86-4.02, 5 Cs 3.95-4.14
Cs (0.4844, 0.3750, 0.6094)  8 Ge 3.82-4.07, 4 Cs 3.95-4.14
Cs (0.6250, 0.2344, 0.1094)  8 Ge 3.82-4.07, 4 Cs 3.95-4.14
Cs (0.2656, 0.8750, 0.8906)  8 Ge 3.82-4.07, 4 Cs 3.95-4.14
Cs (0.3789, 0.8789, 0.2578)  6 Ge 3.86-4.02, 5 Cs 3.95-4.14
Cs (0.9844, 0.3750, 0.1094)  8 Ge 3.82-4.07, 4 Cs 3.95-4.14
Cs (0.7656, 0.8750, 0.3906)  8 Ge 3.82-4.07, 4 Cs 3.95-4.14
Cs (0.1289, 0.1289, 0.7578)  6 Ge 3.86-4.02, 5 Cs 3.95-4.14
Cs (0.8789, 0.6211, 0.5000)  6 Ge 3.86-4.02, 5 Cs 3.95-4.14
Cs (0.6250, 0.7344, 0.6094)  8 Ge 3.82-4.07, 4 Cs 3.95-4.14
Cs (0.6289, 0.8711, 0.0000)  6 Ge 3.86-4.02, 5 Cs 3.95-4.14
Cs (0.1250, 0.0156, 0.3906)  8 Ge 3.82-4.07, 4 Cs 3.95-4.14
Cs (0.1211, 0.3789, 0.5000)  6 Ge 3.86-4.02, 5 Cs 3.95-4.14


Decreasing stability: b, a


a.
A plane-wave DFT calculation with GGA-PBE was carried out for a relaxed structure of CsGe2.

Values from the calculation:
- M_tot (μB/atom) = 0.00

Cell lengths 3.6706, 3.6706, 7.1553 Å; angles 104.86, 104.86, 90.00 degrees
Last column: nearest neighbours and their distance in Å.
Positions (direct):
Cs (0.0000, 0.0000, 0.0000)  4 Cs 3.67, 10 Ge 3.77-3.89
Ge (0.2826, 0.2826, 0.5652)  4 Ge 2.74
Ge (0.7174, 0.7174, 0.4348)  4 Ge 2.74


b.
A plane-wave DFT calculation with GGA-PBE was carried out for a relaxed structure of CsGe2.

Values from the calculation:
- M_tot (μB/atom) = 0.00

Cell lengths 4.5113, 7.0029, 7.4839 Å; angles 104.53, 107.54, 90.00 degrees
Last column: nearest neighbours and their distance in Å.
Positions (direct):
Cs (0.0956, 0.3096, 0.1912)  11 Ge 3.82-4.27
Cs (0.9044, 0.6904, 0.8088)  11 Ge 3.82-4.27
Ge (0.6301, 0.8292, 0.2602)  3 Ge 2.58-2.60
Ge (0.2232, 0.8628, 0.4464)  3 Ge 2.58-2.60
Ge (0.3699, 0.1708, 0.7398)  3 Ge 2.58-2.60
Ge (0.7768, 0.1372, 0.5536)  3 Ge 2.58-2.60


Decreasing stability: b, a


a.
A plane-wave DFT calculation with GGA-PBE was carried out for a relaxed structure of CsGeH.

Values from the calculation:
- M_tot (μB/atom) = 0.00

Cell lengths 5.2894, 5.7076, 7.2397 Å; angles 98.04, 111.43, 90.00 degrees
Last column: nearest neighbours and their distance in Å.
Positions (direct):
Cs (0.3603, 0.8001, 0.7207)  3 H 3.08-3.10
Cs (0.6397, 0.1999, 0.2793)  3 H 3.08-3.10
Ge (0.0684, 0.6594, 0.1368)  1 H 1.65
Ge (0.9316, 0.3406, 0.8632)  1 H 1.65
H (0.8468, 0.5208, 0.6936)  1 Ge 1.65
H (0.1532, 0.4792, 0.3064)  1 Ge 1.65


b.
A plane-wave DFT calculation with GGA-PBE was carried out for a relaxed structure of CsGeH.

Values from the calculation:
- M_tot (μB/atom) = 0.00

Cell lengths 5.0823, 5.9442, 6.6544 Å; angles 115.70, 90.01, 90.06 degrees
Last column: nearest neighbours and their distance in Å.
Positions (direct):
Cs (0.7221, 0.0867, 0.9269)  4 H 3.08-3.42
Cs (0.2232, 0.7714, 0.3124)  4 H 3.08-3.43
Ge (0.2235, 0.4742, 0.6767)  1 H 1.64
Ge (0.7236, 0.3845, 0.5630)  1 H 1.64
H (0.2225, 0.2976, 0.8095)  1 Ge 1.64
H (0.7233, 0.5615, 0.4307)  1 Ge 1.64


Decreasing stability: b, a


a.
A plane-wave DFT calculation with GGA-PBE was carried out for a relaxed structure of CsGe2H.

Values from the calculation:
- M_tot (μB/atom) = 0.00

Cell lengths 5.2620, 5.2620, 5.2620 Å; angles 60.00, 60.00, 60.00 degrees
Last column: nearest neighbours and their distance in Å.
Positions (direct):
Ge (0.7500, 0.7500, 0.7500)  4 Cs 3.22, 4 H 3.22
Ge (0.2500, 0.2500, 0.2500)  4 Cs 3.22, 4 H 3.22
H (0.0000, 0.0000, 0.0000)  8 Ge 3.22
Cs (0.5000, 0.5000, 0.5000)  8 Ge 3.22


b.
A plane-wave DFT calculation with GGA-PBE was carried out for a relaxed structure of CsGe2H.

Values from the calculation:
- M_tot (μB/atom) = 0.00

Cell lengths 6.5229, 6.5229, 6.5756 Å; angles 60.26, 60.26, 90.00 degrees
Last column: nearest neighbours and their distance in Å.
Positions (direct):
Ge (0.8750, 0.6250, 0.7500)  2 H 2.01
Ge (0.3750, 0.6250, 0.7500)  2 H 2.01
Ge (0.3750, 0.1250, 0.2500)  2 H 2.01
Ge (0.3750, 0.6250, 0.2500)  2 H 2.01
H (0.2500, 0.7500, 0.5000)  4 Ge 2.01
H (0.5000, 0.5000, 0.0000)  4 Ge 2.01
Cs (0.0000, 0.0000, 0.0000)  12 Ge 3.83-3.87, 4 H 4.02, 4 Cs 4.02
Cs (0.7500, 0.2500, 0.5000)  12 Ge 3.83-3.87, 4 H 4.02, 4 Cs 4.02


Decreasing stability: b, a


a.
A plane-wave DFT calculation with GGA-PBE was carried out for a relaxed structure of CsGeH2Rh.

Values from the calculation:
- M_tot (μB/atom) = 0.00

Cell lengths 6.3178, 3.2678, 8.8777 Å; angles 90.00, 100.11, 90.00 degrees
Last column: nearest neighbours and their distance in Å.
Positions (direct):
Ge (0.1744, 0.0000, 0.6343)  1 H 1.63
Ge (0.1744, 0.5000, 0.1343)  1 H 1.63
Rh (0.1166, 0.5000, 0.8430)  2 H 1.77
Rh (0.1166, 0.0000, 0.3430)  2 H 1.77
Cs (0.6630, 0.5000, 0.4682)  5 H 2.87-3.19
Cs (0.6630, 0.0000, 0.9682)  5 H 2.87-3.19
H (0.1504, 0.5000, 0.4212)  2 Rh 1.77
H (0.4367, 0.5000, 0.1588)  1 Ge 1.63
H (0.1504, 0.0000, 0.9212)  2 Rh 1.77
H (0.4367, 0.0000, 0.6588)  1 Ge 1.63


b.
A plane-wave DFT calculation with GGA-PBE was carried out for a relaxed structure of CsGeH2Rh.

Values from the calculation:
- M_tot (μB/atom) = 0.00

Cell lengths 3.5630, 3.6101, 14.3970 Å; angles 90.00, 92.57, 90.00 degrees
Last column: nearest neighbours and their distance in Å.
Positions (direct):
H (0.3309, 0.5000, 0.4159)  1 H 0.88
H (0.3309, 0.0000, 0.9159)  1 H 0.88
H (0.3205, 0.5000, 0.3546)  1 H 0.88
H (0.3205, 0.0000, 0.8546)  1 H 0.88
Cs (0.8067, 0.0000, 0.2857)  4 H 2.72-2.73
Cs (0.8067, 0.5000, 0.7857)  4 H 2.72-2.73
Ge (0.8600, 0.0000, 0.5495)  4 Rh 2.53-2.54
Ge (0.8600, 0.5000, 0.0495)  4 Rh 2.53-2.54
Rh (0.3568, 0.0000, 0.0452)  1 H 1.86
Rh (0.3568, 0.5000, 0.5452)  1 H 1.86


Decreasing stability: a, b